Computed, not measured: crystalline Ca2Mn2Ge at its relaxed geometry at the GGA-PBE level of DFT.

For the density, the calculation gives 4.42 g cm⁻³. The calculation puts the formation energy at 0.17 eV/atom. The total energy is -5.22 eV per atom. For the magnetic moment, the calculation gives 0.000 μB/atom.

It has space group I4/mmm (No. 139), with a = 3.219 Å, b = 3.219 Å, c = 19.062 Å, α = 90.00°, β = 90.00° and γ = 90.00°. The asymmetric unit holds Ca at (0.000, 0.000, 0.110), Mn at (0.000, 0.500, 0.250) and Ge at (0.000, 0.000, 0.500).

---

Computed, not measured: crystalline CaMn2Ge at its relaxed geometry at the GGA-PBE level of DFT.

For the density, the calculation gives 4.40 g cm⁻³. The calculation puts the formation energy at 0.35 eV/atom. The total energy is -5.89 eV per atom. For the magnetic moment, the calculation gives 0.909 μB/atom.

It has space group I-42d (No. 122), with a = 4.401 Å, b = 4.401 Å, c = 17.348 Å, α = 90.00°, β = 90.00° and γ = 90.00°. The asymmetric unit holds Ca at (0.000, 0.000, 0.000), Mn at (0.008, 0.250, 0.625) and Ge at (0.000, 0.000, 0.500).

---

Computed, not measured: crystalline CaMnGe3 at its relaxed geometry at the GGA-PBE level of DFT.

For the density, the calculation gives 3.43 g cm⁻³. The calculation puts the formation energy at 1.24 eV/atom. The total energy is -3.77 eV per atom. For the magnetic moment, the calculation gives 0.745 μB/atom.

It has space group Pm-3m (No. 221), with a = 5.332 Å, b = 5.332 Å, c = 5.332 Å, α = 90.00°, β = 90.00° and γ = 90.00°. The asymmetric unit holds Ca at (0.000, 0.000, 0.000), Mn at (0.500, 0.500, 0.500) and Ge at (0.000, 0.000, 0.500).

---

Computed, not measured: crystalline CaMnGe at its relaxed geometry at the GGA-PBE level of DFT.

For the density, the calculation gives 4.41 g cm⁻³. The calculation puts the formation energy at -0.34 eV/atom. The total energy is -5.60 eV per atom. For the magnetic moment, the calculation gives 1.163 μB/atom.

It has space group P4/nmm (No. 129, origin choice 2), with a = 4.207 Å, b = 4.207 Å, c = 7.136 Å, α = 90.00°, β = 90.00° and γ = 90.00°. The asymmetric unit holds Ca at (0.250, 0.250, 0.166), Mn at (0.250, 0.750, 0.500) and Ge at (0.250, 0.250, 0.705).

---

Computed, not measured: crystalline CaMn2Ge2 at its relaxed geometry at the GGA-PBE level of DFT.

For the density, the calculation gives 5.59 g cm⁻³. The calculation puts the formation energy at -0.33 eV/atom. The total energy is -6.25 eV per atom. For the magnetic moment, the calculation gives 0.888 μB/atom.

It has space group I4/mmm (No. 139), with a = 3.994 Å, b = 3.994 Å, c = 10.991 Å, α = 90.00°, β = 90.00° and γ = 90.00°. The asymmetric unit holds Ca at (0.000, 0.000, 0.000), Mn at (0.000, 0.500, 0.250) and Ge at (0.000, 0.000, 0.377).

---

Computed, not measured: crystalline Ca2Mn2Ge at its relaxed geometry at the GGA-PBE level of DFT.

For the density, the calculation gives 3.59 g cm⁻³. The calculation puts the formation energy at 0.45 eV/atom. The total energy is -4.94 eV per atom. For the magnetic moment, the calculation gives 1.396 μB/atom.

It has space group I4/mmm (No. 139), with a = 5.803 Å, b = 5.803 Å, c = 7.223 Å, α = 90.00°, β = 90.00° and γ = 90.00°. The asymmetric unit holds Ca at (0.000, 0.500, 0.250), Mn at (0.000, 0.000, 0.162) and Ge at (0.000, 0.000, 0.500).

---

Computed, not measured: crystalline CaMn2Ge2 at its relaxed geometry at the GGA-PBE level of DFT.

For the density, the calculation gives 5.63 g cm⁻³. The calculation puts the formation energy at -0.03 eV/atom. The total energy is -5.95 eV per atom. For the magnetic moment, the calculation gives 1.221 μB/atom.

It has space group P4/mbm (No. 127), with a = 7.673 Å, b = 7.673 Å, c = 2.956 Å, α = 90.00°, β = 90.00° and γ = 90.00°. The asymmetric unit holds Ca at (0.000, 0.000, 0.000), Mn at (0.133, 0.367, 0.500) and Ge at (0.154, 0.654, 0.000).

---

Computed, not measured: crystalline CaMn2GeN4 at its relaxed geometry at the GGA-PBE level of DFT.

For the density, the calculation gives 4.52 g cm⁻³. The total energy is -7.58 eV per atom. For the magnetic moment, the calculation gives 1.000 μB/atom. The raw formation energy is -0.300 eV per atom.

It has space group Pmn2_1 (No. 31), with a = 7.393 Å, b = 5.297 Å, c = 5.224 Å, α = 90.00°, β = 90.00° and γ = 90.00°. The asymmetric unit holds Ca at (0.000, 0.207, 0.000), Mn at (0.249, 0.318, 0.513), Ge at (0.000, 0.809, 0.528), N at (0.000, 0.165, 0.480), N at (0.000, 0.750, 0.888) and N at (0.206, 0.664, 0.379).

---

Question: Which value of density does entry 5 give?
Answer: 5.59 g cm⁻³

---

Question: Which of these has the highest density?
Answer: number 7

---

Question: Which value of density does entry 8 give?
Answer: 4.52 g cm⁻³